1.
## Ac5LaTl6 (PBE)

Data for a geometry-optimized Ac5LaTl6 structure.

Cell lengths 10.0744, 10.0744, 5.8361 Å; angles 106.76, 106.76, 47.84 degrees
Closest atoms and distances in Å follow each position.
Sites, in units of the cell vectors:
Ac 0.0000 0.0000 0.0000  8 Tl 3.55-3.61
Ac 0.1646 0.1646 0.6639  8 Tl 3.58-3.60
Ac 0.3307 0.3307 0.3317  8 Tl 3.54-3.58
Ac 0.6693 0.6693 0.6683  8 Tl 3.54-3.58
Ac 0.8354 0.8354 0.3361  8 Tl 3.58-3.60
La 0.5000 0.5000 0.0000  8 Tl 3.50-3.52
Tl 0.0910 0.5806 0.8370  1 La 3.50, 7 Ac 3.54-3.60
Tl 0.2598 0.7402 0.5000  2 La 3.52, 6 Ac 3.55-3.61, 1 Tl 3.92
Tl 0.4194 0.9090 0.1630  1 La 3.50, 7 Ac 3.54-3.60
Tl 0.5806 0.0910 0.8370  1 La 3.50, 7 Ac 3.54-3.60
Tl 0.7402 0.2598 0.5000  2 La 3.52, 6 Ac 3.55-3.61, 1 Tl 3.92
Tl 0.9090 0.4194 0.1630  1 La 3.50, 7 Ac 3.54-3.60

## Properties
- energy of formation (eV per atom) = -0.36
- space group = No. 12

2.
## Ac3LaTl2 (PBE)

Data for a geometry-optimized Ac3LaTl2 structure.

Cell lengths 9.2262, 9.2262, 10.9484 Å; angles 118.07, 118.07, 34.13 degrees
Closest atoms and distances in Å follow each position.
Sites, in units of the cell vectors:
Ac 0.0407 0.0407 0.3583  2 Tl 3.48
Ac 0.2916 0.2916 0.6310  2 Tl 3.46-3.49, 2 Ac 3.68
Ac 0.3654 0.3654 0.3194  4 Tl 3.55-3.93, 1 La 3.87, 2 Ac 3.97
Ac 0.6346 0.6346 0.6806  4 Tl 3.55-3.93, 1 La 3.87, 2 Ac 3.97
Ac 0.7084 0.7084 0.3690  2 Tl 3.46-3.49, 2 Ac 3.68
Ac 0.9593 0.9593 0.6417  2 Tl 3.48
La 0.1183 0.1183 0.0558  5 Tl 3.35-3.50, 1 La 3.73
La 0.8817 0.8817 0.9442  5 Tl 3.35-3.50, 1 La 3.73
Tl 0.2467 0.2467 0.9076  3 Tl 3.35-3.71, 3 La 3.37-3.50, 3 Ac 3.49-3.55
Tl 0.4873 0.4873 0.1313  1 Tl 3.12, 2 La 3.35, 3 Ac 3.46-3.48
Tl 0.5127 0.5127 0.8687  1 Tl 3.12, 2 La 3.35, 3 Ac 3.46-3.48
Tl 0.7533 0.7533 0.0924  3 Tl 3.35-3.71, 3 La 3.37-3.50, 3 Ac 3.49-3.55

## Properties
- energy of formation (eV per atom) = -0.19
- space group = No. 12

3.
## Ac2LaTl (PBE)

Data for a geometry-optimized Ac2LaTl structure.

Cell lengths 10.8235, 7.3344, 7.3420 Å; angles 90.00, 90.01, 90.00 degrees
Closest atoms and distances in Å follow each position.
Sites, in units of the cell vectors:
Ac 0.2488 0.0000 0.4988  4 Ac 3.67, 4 Tl 3.74-3.76, 4 La 3.74-3.76
Ac 0.2488 0.0000 0.9988  4 Ac 3.67, 4 Tl 3.74-3.76, 4 La 3.74-3.76
Ac 0.2512 0.5000 0.0012  4 Ac 3.67, 4 Tl 3.74-3.76, 4 La 3.74-3.76
Ac 0.2512 0.5000 0.5012  4 Ac 3.67, 4 Tl 3.74-3.76, 4 La 3.74-3.76
Ac 0.7488 0.5000 0.4988  4 Ac 3.67, 4 Tl 3.74-3.76, 4 La 3.74-3.76
Ac 0.7488 0.5000 0.9988  4 Ac 3.67, 4 Tl 3.74-3.76, 4 La 3.74-3.76
Ac 0.7512 0.0000 0.0012  4 Ac 3.67, 4 Tl 3.74-3.76, 4 La 3.74-3.76
Ac 0.7512 0.0000 0.5012  4 Ac 3.67, 4 Tl 3.74-3.76, 4 La 3.74-3.76
La 0.0000 0.2531 0.2500  4 Tl 3.64-3.69, 8 Ac 3.74-3.76
La 0.0000 0.7469 0.7500  4 Tl 3.64-3.69, 8 Ac 3.74-3.76
La 0.5000 0.2469 0.7500  4 Tl 3.64-3.69, 8 Ac 3.74-3.76
La 0.5000 0.7531 0.2500  4 Tl 3.64-3.69, 8 Ac 3.74-3.76
Tl 0.0000 0.2506 0.7500  4 La 3.64-3.69, 8 Ac 3.74-3.76
Tl 0.0000 0.7494 0.2500  4 La 3.64-3.69, 8 Ac 3.74-3.76
Tl 0.5000 0.2494 0.2500  4 La 3.64-3.69, 8 Ac 3.74-3.76
Tl 0.5000 0.7506 0.7500  4 La 3.64-3.69, 8 Ac 3.74-3.76

## Properties
- energy of formation (eV per atom) = -0.14
- energy above the lowest structure with this stoichiometry (eV/f.u.) = 0.11
- space group = No. 15

4.
## Ac2La7Tl2 (PBE)

Data for a geometry-optimized Ac2La7Tl2 structure.

Cell lengths 7.2127, 7.2127, 9.4997 Å; angles 90.00, 90.00, 120.02 degrees
Closest atoms and distances in Å follow each position.
Sites, in units of the cell vectors:
Ac 0.2401 0.2401 0.0000  2 Ac 3.46-3.75, 6 La 3.60-3.69
Ac 0.7599 0.7599 0.0000  2 Ac 3.46-3.75, 6 La 3.60-3.69
La 0.0000 0.0000 0.5000  2 Tl 3.33
La 0.0000 0.5000 0.2059  2 Tl 3.33, 2 La 3.61, 2 Ac 3.69
La 0.0000 0.5000 0.7941  2 Tl 3.33, 2 La 3.61, 2 Ac 3.69
La 0.5000 0.0000 0.2059  2 Tl 3.33, 2 La 3.61, 2 Ac 3.69
La 0.5000 0.0000 0.7941  2 Tl 3.33, 2 La 3.61, 2 Ac 3.69
La 0.5000 0.5000 0.3230  1 La 3.36, 2 Tl 3.36, 2 Ac 3.60
La 0.5000 0.5000 0.6770  1 La 3.36, 2 Tl 3.36, 2 Ac 3.60
Tl 0.2667 0.7333 0.5000  7 La 3.33-3.36, 2 Tl 3.63
Tl 0.7333 0.2667 0.5000  7 La 3.33-3.36, 2 Tl 3.63

## Properties
- energy of formation (eV per atom) = 0.12
- energy above the lowest structure with this stoichiometry (eV/f.u.) = 2.07
- space group = No. 65